Crystalline InOsRh2 at its relaxed geometry, computed with GGA-PBEsol.

Properties
Energy of formation ... 1.24 eV per formula unit
Magnetic moment ... 0.003 μB/f.u.

a b c (Å): 6.221 6.221 6.221
angles (deg): 90.00 90.00 90.00
Space group F-43m (No. 216)
Inequivalent atoms, fractional coordinates:
In 0.000 0.000 0.000 (multiplicity 4)
Os 0.250 0.250 0.250 (multiplicity 4)
Rh 0.000 0.000 0.500 (multiplicity 4)
Rh 0.250 0.250 0.750 (multiplicity 4)